Ga2Ag3Sn | GGA-PBE | relaxed

Results
Energy (eV per atom): -3.07
Space-group type: Cmcm, No. 63
Magnetic moment (μB/cell): 0.00
Calculated formation energy (eV/atom): 0.036
Fermi-level density of states (states/eV/f.u.): 1.758

```
Ga2Ag3Sn
1.0
4.6993 -4.3575 0.0000
4.6993 4.3575 0.0000
0.0000 0.0000 5.8464
Ga Ag Sn
4 6 2
Cartesian
3.2216 2.3370 4.3848 Ga
6.1770 2.3370 4.3848 Ga
3.2216 -2.3370 1.4616 Ga
6.1770 -2.3370 1.4616 Ga
0.0000 0.0000 0.0000 Ag
0.0000 0.0000 2.9232 Ag
2.9538 0.0000 0.0000 Ag
2.9538 0.0000 2.9232 Ag
6.4448 0.0000 0.0000 Ag
6.4448 0.0000 2.9232 Ag
4.6993 1.8860 1.4616 Sn
4.6993 -1.8860 4.3848 Sn
```